No. 1
Compound: Sm5Tl2Pb2
Source: the Alexandria database
Functional: GGA-PBE
Structure: relaxed

E_tot, eV/atom: -4.421
E_form, eV/atom: -0.45

a = 8.3047 Å, b = 8.4046 Å, c = 9.1013 Å
α = 117.50°, β = 90.00°, γ = 90.00°
With the nearest neighbours (Å) after each atom.
Fractional coordinates of all 18 atoms:
Sm (0.6707, 0.3142, 0.2775)  3 Pb 3.22-3.30, 3 Tl 3.25-3.41
Tl (0.6282, 0.8720, 0.0000)  1 Tl 3.03, 6 Sm 3.25-3.37
Tl (0.8718, 0.3720, 0.0000)  1 Tl 3.03, 6 Sm 3.25-3.37
Pb (0.0000, 0.7926, 0.5853)  7 Sm 3.22-3.35
Pb (0.5000, 0.7074, 0.4147)  7 Sm 3.22-3.35
Sm (0.8293, 0.8142, 0.2775)  3 Pb 3.22-3.30, 3 Tl 3.25-3.41
Tl (0.3718, 0.1280, 0.0000)  1 Tl 3.03, 6 Sm 3.25-3.37
Sm (0.1707, 0.4633, 0.2775)  3 Pb 3.22-3.30, 3 Tl 3.25-3.41
Sm (0.3293, 0.6858, 0.7225)  3 Pb 3.22-3.30, 3 Tl 3.25-3.41
Sm (0.6707, 0.0367, 0.7225)  3 Pb 3.22-3.30, 3 Tl 3.25-3.41
Pb (0.5000, 0.2926, 0.5853)  7 Sm 3.22-3.35
Sm (0.3293, 0.9633, 0.2775)  3 Pb 3.22-3.30, 3 Tl 3.25-3.41
Pb (0.0000, 0.2074, 0.4147)  7 Sm 3.22-3.35
Sm (0.1707, 0.1858, 0.7225)  3 Pb 3.22-3.30, 3 Tl 3.25-3.41
Sm (0.0000, 0.0000, 0.0000)  4 Tl 3.27-3.30, 2 Pb 3.35
Sm (0.5000, 0.5000, 0.0000)  4 Tl 3.27-3.30, 2 Pb 3.35
Sm (0.8293, 0.5367, 0.7225)  3 Pb 3.22-3.30, 3 Tl 3.25-3.41
Tl (0.1282, 0.6280, 0.0000)  1 Tl 3.03, 6 Sm 3.25-3.37

---

No. 2
Compound: Sm9TlPb2
Source: the Alexandria database
Functional: GGA-PBE
Structure: relaxed

E_tot, eV/atom: -4.638
E_form, eV/atom: -0.28

a = 4.9446 Å, b = 4.9446 Å, c = 14.8062 Å
α = 90.00°, β = 90.00°, γ = 90.00°
With the nearest neighbours (Å) after each atom.
Fractional coordinates of all 12 atoms:
Sm (0.5000, 0.0000, 0.8329)  2 Pb 3.48, 8 Sm 3.49-3.50, 2 Tl 3.50
Sm (0.5000, 0.5000, 0.0000)  4 Tl 3.50, 8 Sm 3.50
Sm (0.0000, 0.5000, 0.5000)  8 Sm 3.49-3.50, 4 Pb 3.50
Sm (0.0000, 0.5000, 0.1671)  2 Pb 3.48, 8 Sm 3.49-3.50, 2 Tl 3.50
Tl (0.0000, 0.0000, 0.0000)  12 Sm 3.50
Pb (0.0000, 0.0000, 0.3322)  12 Sm 3.48-3.50
Sm (0.5000, 0.5000, 0.6661)  8 Sm 3.49, 4 Pb 3.50
Pb (0.0000, 0.0000, 0.6678)  12 Sm 3.48-3.50
Sm (0.5000, 0.5000, 0.3339)  8 Sm 3.49, 4 Pb 3.50
Sm (0.0000, 0.5000, 0.8329)  2 Pb 3.48, 8 Sm 3.49-3.50, 2 Tl 3.50
Sm (0.5000, 0.0000, 0.5000)  8 Sm 3.49-3.50, 4 Pb 3.50
Sm (0.5000, 0.0000, 0.1671)  2 Pb 3.48, 8 Sm 3.49-3.50, 2 Tl 3.50

---

No. 3
Compound: Sm4TlPb2
Source: the Alexandria database
Functional: GGA-PBE
Structure: relaxed

E_tot, eV/atom: -4.436
E_form, eV/atom: -0.34

a = 5.9124 Å, b = 6.6755 Å, c = 11.5294 Å
α = 90.00°, β = 110.15°, γ = 90.00°
With the nearest neighbours (Å) after each atom.
Fractional coordinates of all 14 atoms:
Sm (0.5919, 0.5110, 0.2662)  3 Sm 3.19-3.56, 1 Tl 3.26, 2 Pb 3.36-3.44
Pb (0.7835, 0.7500, 0.5675)  5 Sm 3.21-3.35
Tl (0.9201, 0.2500, 0.8297)  1 Pb 2.95, 4 Sm 3.02-3.29
Sm (0.9942, 0.2500, 0.1258)  3 Pb 3.18-3.32, 3 Tl 3.29-3.39
Sm (0.1980, 0.7500, 0.4470)  1 Tl 3.02, 4 Pb 3.21-3.35
Pb (0.2165, 0.2500, 0.4325)  5 Sm 3.21-3.35
Sm (0.4081, 0.4890, 0.7338)  3 Sm 3.19-3.56, 1 Tl 3.26, 2 Pb 3.36-3.44
Pb (0.5770, 0.7500, 0.9989)  1 Tl 2.95, 1 Sm 3.18
Pb (0.4230, 0.2500, 0.0011)  1 Tl 2.95, 1 Sm 3.18
Sm (0.0058, 0.7500, 0.8742)  3 Pb 3.18-3.32, 3 Tl 3.29-3.39
Tl (0.0799, 0.7500, 0.1703)  1 Pb 2.95, 4 Sm 3.02-3.29
Sm (0.5919, 0.9890, 0.2662)  3 Sm 3.19-3.56, 1 Tl 3.26, 2 Pb 3.36-3.44
Sm (0.4081, 0.0110, 0.7338)  3 Sm 3.19-3.56, 1 Tl 3.26, 2 Pb 3.36-3.44
Sm (0.8020, 0.2500, 0.5530)  1 Tl 3.02, 4 Pb 3.21-3.35

---

No. 4
Compound: SmTlPb4
Source: the Alexandria database
Functional: GGA-PBE
Structure: relaxed

E_tot, eV/atom: -3.719
E_form, eV/atom: -0.07

a = 6.4853 Å, b = 6.4853 Å, c = 6.4853 Å
α = 60.00°, β = 60.00°, γ = 60.00°
With the nearest neighbours (Å) after each atom.
Fractional coordinates of all 6 atoms:
Pb (0.6257, 0.6257, 0.1230)  6 Pb 3.23-3.26
Pb (0.6257, 0.1230, 0.6257)  6 Pb 3.23-3.26
Pb (0.6257, 0.6257, 0.6257)  6 Pb 3.23-3.26
Sm (0.0000, 0.0000, 0.0000)  12 Pb 3.80, 4 Tl 3.97
Pb (0.1230, 0.6257, 0.6257)  6 Pb 3.23-3.26
Tl (0.2500, 0.2500, 0.2500)  12 Pb 3.80, 4 Sm 3.97

---

No. 5
Compound: Sm8TlPb2
Source: the Alexandria database
Functional: GGA-PBE
Structure: relaxed

E_tot, eV/atom: -4.549
E_form, eV/atom: -0.23

a = 5.2583 Å, b = 6.9932 Å, c = 10.2642 Å
α = 102.56°, β = 104.84°, γ = 90.00°
With the nearest neighbours (Å) after each atom.
Fractional coordinates of all 11 atoms:
Sm (0.3415, 0.9919, 0.6830)  1 Tl 3.13, 3 Pb 3.21-3.24, 2 Sm 3.48
Sm (0.4085, 0.5200, 0.8169)  1 Tl 3.44, 2 Pb 3.52, 8 Sm 3.57-3.82
Pb (0.1800, 0.7658, 0.3599)  9 Sm 3.21-3.54
Sm (0.2129, 0.3315, 0.4257)  3 Pb 3.25-3.54, 4 Sm 3.48-3.62
Tl (0.5000, 0.0000, 0.0000)  8 Sm 3.13-3.44
Sm (0.7871, 0.6685, 0.5743)  3 Pb 3.25-3.54, 4 Sm 3.48-3.62
Sm (0.6585, 0.0081, 0.3170)  1 Tl 3.13, 3 Pb 3.21-3.24, 2 Sm 3.48
Sm (0.0164, 0.7624, 0.0327)  2 Tl 3.17, 1 Pb 3.24, 1 Sm 3.53
Sm (0.5915, 0.4800, 0.1831)  1 Tl 3.44, 2 Pb 3.52, 8 Sm 3.57-3.82
Sm (0.9836, 0.2376, 0.9673)  2 Tl 3.17, 1 Pb 3.24, 1 Sm 3.53
Pb (0.8200, 0.2342, 0.6401)  9 Sm 3.21-3.54

---

No. 6
Compound: Sm6TlPb2
Source: the Alexandria database
Functional: GGA-PBE
Structure: relaxed

E_tot, eV/atom: -4.603
E_form, eV/atom: -0.37

a = 4.5177 Å, b = 8.5744 Å, c = 8.5746 Å
α = 120.00°, β = 90.00°, γ = 90.00°
With the nearest neighbours (Å) after each atom.
Fractional coordinates of all 9 atoms:
Pb (0.0000, 0.6667, 0.3334)  9 Sm 3.23-3.45
Sm (0.0000, 0.2571, 0.0000)  2 Tl 3.16, 2 Pb 3.23
Sm (0.0000, 0.0000, 0.2571)  2 Tl 3.16, 2 Pb 3.23
Sm (0.0000, 0.7429, 0.7429)  2 Tl 3.16, 2 Pb 3.23
Sm (0.5000, 0.4064, 0.4065)  4 Pb 3.45, 1 Tl 3.48, 6 Sm 3.66-3.80
Tl (0.5000, 0.0001, 0.0000)  9 Sm 3.16-3.49
Pb (0.0000, 0.3333, 0.6666)  9 Sm 3.23-3.45
Sm (0.5000, 0.5936, 0.0000)  4 Pb 3.45, 1 Tl 3.49, 6 Sm 3.66-3.80
Sm (0.5000, 0.0000, 0.5935)  4 Pb 3.45, 1 Tl 3.48, 6 Sm 3.66-3.80